<w>
{
  "formula": "Pd2Pt6Rh",
  "functional": "PBE",
  "state": "optimized geometry",
  "density_g_cm3": 17.6,
  "dos_at_fermi_per_ev_atom": 1.279,
  "cell": [[-2.117, 1.804, 3.869], [-2.171, -1.138, -3.591], [0.421, -7.372, 3.667]],
  "species": ["Pd", "Pd", "Pt", "Pt", "Pt", "Pt", "Pt", "Pt", "Rh"],
  "fractional_positions": [[0.666, 0.332, 0.944], [0.334, 0.668, 0.056], [0.997, 0.994, 0.832], [0.671, 0.342, 0.279], [0.329, 0.658, 0.721], [0.665, 0.329, 0.611], [0.335, 0.671, 0.389], [0.003, 0.006, 0.168], [0.000, 0.000, 0.500]]
}

<x>
{
  "formula": "Pd2Pt6Rh",
  "functional": "PBE",
  "state": "optimized geometry",
  "density_g_cm3": 17.8,
  "dos_at_fermi_per_ev_atom": 2.191,
  "cell": [[-0.240, -0.314, -2.754], [-5.354, -4.550, 2.391], [-0.820, 8.303, -0.876]],
  "species": ["Pd", "Pd", "Pt", "Pt", "Pt", "Pt", "Pt", "Pt", "Rh"],
  "fractional_positions": [[0.666, 0.332, 0.832], [0.334, 0.668, 0.168], [0.333, 0.666, 0.834], [0.667, 0.334, 0.166], [0.999, 0.998, 0.168], [0.665, 0.329, 0.501], [0.001, 0.002, 0.832], [0.335, 0.671, 0.499], [0.000, 0.000, 0.500]]
}

Which of them is most stable? Easy: <x>.

<w>
{
  "formula": "Pd3Pt3Rh",
  "functional": "PBE",
  "state": "optimized geometry",
  "density_g_cm3": 14.4,
  "dos_at_fermi_per_ev_atom": 1.447,
  "cell": [[-4.183, 0.525, 2.824], [-0.745, -4.345, -2.513], [3.627, -1.127, 3.365]],
  "species": ["Pd", "Pd", "Pd", "Pt", "Pt", "Pt", "Rh"],
  "fractional_positions": [[0.532, 0.532, 0.175], [0.532, 0.175, 0.532], [0.175, 0.532, 0.532], [0.532, 0.975, 0.975], [0.975, 0.975, 0.532], [0.975, 0.532, 0.975], [0.079, 0.079, 0.079]]
}

<x>
{
  "formula": "Pd3Pt3Rh",
  "functional": "PBE",
  "state": "optimized geometry",
  "density_g_cm3": 15.6,
  "dos_at_fermi_per_ev_atom": 2.022,
  "cell": [[5.931, -0.041, 1.913], [1.381, 5.768, 1.913], [-0.052, -0.041, 6.231]],
  "species": ["Pd", "Pd", "Pd", "Pd", "Pd", "Pd", "Pt", "Pt", "Pt", "Pt", "Pt", "Pt", "Rh", "Rh"],
  "fractional_positions": [[0.678, 0.105, 0.964], [0.105, 0.964, 0.678], [0.964, 0.678, 0.105], [0.036, 0.322, 0.895], [0.895, 0.036, 0.322], [0.322, 0.895, 0.036], [0.605, 0.466, 0.176], [0.176, 0.605, 0.466], [0.466, 0.176, 0.605], [0.534, 0.824, 0.395], [0.824, 0.395, 0.534], [0.395, 0.534, 0.824], [0.252, 0.252, 0.252], [0.748, 0.748, 0.748]]
}

Which of them is most stable? Easy: <x>.